(1)
Compound: GaSb2I8
Source: the Alexandria database
Functional: PBE
Structure: optimized geometry

Lattice parameters (Å, degrees): 8.8196 8.7582 8.7582 76.57 85.31 85.31
Sites, in units of the cell vectors:
1 Ga 0.0000 0.0000 0.0000
2 Sb 0.6272 0.1513 0.1513
3 Sb 0.3728 0.8487 0.8487
4 I 0.1517 0.0500 0.6619
5 I 0.1517 0.6619 0.0500
6 I 0.8483 0.9500 0.3381
7 I 0.4520 0.6471 0.6471
8 I 0.8483 0.3381 0.9500
9 I 0.2749 0.0940 0.0940
10 I 0.7251 0.9060 0.9060
11 I 0.5480 0.3529 0.3529

**Crystal system**: monoclinic



(2)
Compound: GaSbI2
Source: the Alexandria database
Functional: PBE
Structure: optimized geometry

Lattice parameters (Å, degrees): 5.7735 5.7735 10.6216 74.23 74.23 90.00
Sites, in units of the cell vectors:
1 I 0.6451 0.1250 0.2500
2 I 0.1049 0.6250 0.2500
3 I 0.3750 0.3549 0.7500
4 I 0.8750 0.8951 0.7500
5 Sb 0.0000 0.0000 0.0000
6 Sb 0.7500 0.2500 0.5000
7 Ga 0.5000 0.5000 0.0000
8 Ga 0.2500 0.7500 0.5000

**Relative energy among the computed polymorphs**: 0 meV/atom
**Crystal system**: tetragonal



(3)
Compound: ScGaSb2I
Source: the Alexandria database
Functional: PBE
Structure: optimized geometry

Lattice parameters (Å, degrees): 5.5266 5.5266 5.8379 90.00 90.00 90.00
Sites, in units of the cell vectors:
1 I 0.0000 0.0000 0.5000
2 Sb 0.0000 0.5000 0.0000
3 Sb 0.5000 0.0000 0.0000
4 Sc 0.0000 0.0000 0.0000
5 Ga 0.5000 0.5000 0.5000

**Relative energy among the computed polymorphs**: 0 meV/atom
**Crystal system**: tetragonal



For reference, ρ by record: 3.37 4.52 4.52 g/cm³.
For reference, energy relative to the elements, uncorrected by record: -255 148 7 meV/atom.
For reference, VASP energy by record: -2.407 -2.414 -3.823 eV per atom.